MgBeZnSi, optimized geometry, DFT PBE; energy relative to the lowest polymorph listed for this composition = 0.0000 eV/atom; DFT total energy = -10.57 eV per cell
1.0
-4.2661 -0.9280 0.3737
-2.7605 2.9954 1.6148
-2.9055 1.9494 -2.6379
Be Mg Si Zn
1 1 1 1
direct
0.0000 0.0000 0.0000 Be
0.5000 0.5000 0.5000 Mg
0.2500 0.2500 0.2500 Si
0.7500 0.7500 0.7500 Zn